Gd2DyRh: relaxed, PBE.

```
Gd2DyRh
1.0
1.828 1.055 10.489
-1.828 1.055 10.489
0.000 -2.111 10.489
Gd Dy Rh
2 1 1
Cartesian
0.000 0.000 3.454
0.000 0.000 28.013
0.000 0.000 0.000
0.000 0.000 15.734
```

- Energy of formation from the pure elements: -0.52 eV/f.u.
- VASP energy: -10.16 eV/atom

Y8Ag2Rh: relaxed, PBE.

```
Y8Ag2Rh
1.0
8.771 -2.620 0.000
8.771 2.620 0.000
-2.047 0.000 6.533
Y Ag Rh
8 2 1
Cartesian
-0.103 0.000 1.888
1.846 0.000 5.299
4.882 0.000 3.456
7.061 0.000 0.427
8.434 0.000 6.106
10.613 0.000 3.077
13.650 0.000 1.234
15.598 0.000 4.644
2.779 0.000 1.434
12.716 0.000 5.099
7.748 0.000 3.266
```

- Energy of formation from the pure elements: -2.90 eV/f.u.
- VASP energy: -6.15 eV/atom

MnHg5: relaxed, PBE.

```
MnHg5
1.0
3.329 0.000 0.000
-1.665 2.883 0.000
0.000 0.000 14.564
Mn Hg
1 5
Cartesian
0.000 0.000 0.000
0.000 0.000 4.681
0.000 0.000 9.883
0.000 1.922 2.108
0.000 1.922 7.282
0.000 1.922 12.456
```

- Energy of formation from the pure elements: 1.17 eV/f.u.
- VASP energy: -1.58 eV/atom

ZnIn3P: relaxed, PBE.

```
ZnIn3P
1.0
5.262 0.000 0.000
0.000 5.262 0.000
0.000 0.000 5.262
Zn In P
1 3 1
Cartesian
0.000 0.000 0.000
0.000 2.631 2.631
2.631 0.000 2.631
2.631 2.631 0.000
2.631 2.631 2.631
```

- Energy of formation from the pure elements: 2.07 eV/f.u.
- VASP energy: -2.57 eV/atom

TaRh2W: relaxed, PBE.

```
TaRh2W
1.0
1.413 0.816 9.182
-1.413 0.816 9.182
0.000 -1.631 9.182
Ta Rh W
1 2 1
Cartesian
0.000 0.000 0.000
0.000 0.000 7.003
0.000 0.000 13.827
0.000 0.000 20.908
```

- Energy of formation from the pure elements: -0.19 eV/f.u.
- VASP energy: -9.92 eV/atom

Tm2HSe: relaxed, PBE.

```
Tm2HSe
1.0
1.854 1.071 6.734
-1.854 1.071 6.734
0.000 -2.141 6.734
Tm H Se
2 1 1
Cartesian
0.000 0.000 0.000
0.000 0.000 3.954
0.000 0.000 6.048
0.000 0.000 8.748
```

- VASP energy: -4.96 eV/atom